[1]
Density functional theory data (PBE-GGA) for a geometry-optimized ZrCr structure.

## Properties
The total energy comes out at -8.7919 eV/atom. The space-group type is No. 139. The energy of formation comes out at 0.294 eV/atom.

Lattice parameters (Å, degrees): 7.6956 7.6956 4.7992 90.00 90.00 90.00
Last column: nearest neighbours and their distance in Å.
Element x y z (fractional)
Zr: 0.7943 0.5000 0.0000  6 Cr 2.74-2.89
Zr: 0.2057 0.5000 0.0000  6 Cr 2.74-2.89
Zr: 0.5000 0.2057 0.0000  6 Cr 2.74-2.89
Zr: 0.5000 0.7943 0.0000  6 Cr 2.74-2.89
Zr: 0.2943 0.0000 0.5000  6 Cr 2.74-2.89
Zr: 0.7057 0.0000 0.5000  6 Cr 2.74-2.89
Zr: 0.0000 0.7057 0.5000  6 Cr 2.74-2.89
Zr: 0.0000 0.2943 0.5000  6 Cr 2.74-2.89
Cr: 0.1481 0.1481 0.0000  2 Cr 2.28
Cr: 0.1481 0.8519 0.0000  2 Cr 2.28
Cr: 0.8519 0.1481 0.0000  2 Cr 2.28
Cr: 0.8519 0.8519 0.0000  2 Cr 2.28
Cr: 0.6481 0.6481 0.5000  2 Cr 2.28
Cr: 0.6481 0.3519 0.5000  2 Cr 2.28
Cr: 0.3519 0.6481 0.5000  2 Cr 2.28
Cr: 0.3519 0.3519 0.5000  2 Cr 2.28


[2]
Density functional theory data (PBE-GGA) for a geometry-optimized Na2TiV structure.

## Properties
The total energy comes out at -3.6867 eV/atom. The space-group type is No. 225. The energy of formation comes out at 1.226 eV/atom. The value obtained for the energy above the most stable polymorph in this dataset is 32 meV per atom.

Lattice parameters (Å, degrees): 5.0626 5.0626 5.0626 60.00 60.00 60.00
Last column: nearest neighbours and their distance in Å.
Element x y z (fractional)
Na: 0.2500 0.2500 0.2500  4 Ti 3.10, 4 V 3.10
Na: 0.7500 0.7500 0.7500  4 V 3.10, 4 Ti 3.10
V: 0.5000 0.5000 0.5000  8 Na 3.10
Ti: 0.0000 0.0000 0.0000  8 Na 3.10


[3]
Density functional theory data (PBE-GGA) for a geometry-optimized La2MnReSb structure.

## Properties
The value obtained for the uncorrected formation energy is 0.119 eV per atom. The total energy comes out at -7.0004 eV/atom. The space-group type is No. 123.

Lattice parameters (Å, degrees): 5.6144 4.6250 5.6144 90.00 90.00 90.00
Last column: nearest neighbours and their distance in Å.
Element x y z (fractional)
Re: 0.0000 0.0000 0.0000  2 Mn 2.31
Mn: 0.0000 0.5000 0.0000  2 Re 2.31
Sb: 0.5000 0.5000 0.5000  8 La 3.64, 4 Mn 3.97
La: 0.0000 0.0000 0.5000  2 Re 2.81
La: 0.5000 0.0000 0.0000  2 Re 2.81


[4]
Density functional theory data (PBE-GGA) for a geometry-optimized Tm4InPdRu2 structure.

## Properties
The total energy comes out at -6.0939 eV/atom. The space-group type is No. 166. The energy of formation comes out at -0.548 eV/atom.

Lattice parameters (Å, degrees): 4.9037 4.9037 8.4977 73.23 73.23 60.00
Last column: nearest neighbours and their distance in Å.
Element x y z (fractional)
Tm: 0.3803 0.3803 0.8591  1 Pd 2.88, 4 Ru 2.95-3.10, 3 In 3.05
Tm: 0.8708 0.8708 0.3876  4 Ru 2.94-3.05, 3 Pd 2.97, 1 In 3.11
Tm: 0.1292 0.1292 0.6124  4 Ru 2.94-3.05, 3 Pd 2.97, 1 In 3.11
Tm: 0.6197 0.6197 0.1409  1 Pd 2.88, 4 Ru 2.95-3.10, 3 In 3.05
In: 0.0000 0.0000 0.0000  8 Tm 3.05-3.11
Pd: 0.5000 0.5000 0.5000  8 Tm 2.88-2.97
Ru: 0.7486 0.7486 0.7543  8 Tm 2.94-3.10
Ru: 0.2514 0.2514 0.2457  8 Tm 2.94-3.10